Arrangement one

Below is a relaxed Dy2HfNi crystal, with properties calculated at the PBE level.

Cell lengths 3.3340, 3.3340, 10.3744 Å; angles 80.75, 80.75, 60.00 degrees
Fractional coordinates of all 4 atoms:
Dy 0.1046 0.1046 0.6861
Dy 0.8954 0.8954 0.3139
Ni 0.5000 0.5000 0.5000
Hf 0.0000 0.0000 0.0000

Summary:
Size of the total moment   0.00 μB per formula unit

Arrangement two

Below is a relaxed Dy2HfNi crystal, with properties calculated at the PBE level.

Cell lengths 3.3929, 3.3929, 7.8939 Å; angles 90.00, 90.00, 90.00 degrees
Fractional coordinates of all 4 atoms:
Dy 0.0000 0.0000 0.2097
Dy 0.0000 0.0000 0.7903
Ni 0.5000 0.5000 0.0000
Hf 0.5000 0.5000 0.5000

Summary:
Size of the total moment   0.00 μB per formula unit

Most favorable structure: arrangement two. The second most favorable one is 390 meV per atom above it.

Arrangement one

Below is a relaxed DyHfP2 crystal, with properties calculated at the PBE level.

Cell lengths 3.7720, 3.7720, 6.9632 Å; angles 74.29, 74.29, 60.00 degrees
Fractional coordinates of all 4 atoms:
P 0.0761 0.0761 0.7718
P 0.2576 0.2576 0.2273
Hf 0.6704 0.6704 0.9888
Dy 0.4960 0.4960 0.5121

Summary:
Size of the total moment   0.00 μB per formula unit

Arrangement two

Below is a relaxed DyHfP2 crystal, with properties calculated at the PBE level.

Cell lengths 3.8228, 3.8228, 6.7016 Å; angles 73.53, 73.53, 59.93 degrees
Fractional coordinates of all 4 atoms:
P 0.2560 0.2560 0.2319
P 0.7440 0.7440 0.7681
Hf 0.0000 0.0000 0.0000
Dy 0.5000 0.5000 0.5000

Summary:
Size of the total moment   0.00 μB per formula unit

Most favorable structure: arrangement two. The second most favorable one is 111 meV per atom above it.

Arrangement one

Below is a relaxed DyHfPa2 crystal, with properties calculated at the PBE level.

Cell lengths 3.1715, 3.1715, 10.1813 Å; angles 90.00, 90.00, 90.00 degrees
Fractional coordinates of all 4 atoms:
Hf 0.5000 0.5000 0.0000
Pa 0.0000 0.0000 0.7637
Pa 0.0000 0.0000 0.2363
Dy 0.5000 0.5000 0.5000

Summary:
Size of the total moment   0.00 μB per formula unit

Arrangement two

Below is a relaxed DyHfPa2 crystal, with properties calculated at the PBE level.

Cell lengths 5.2661, 5.2661, 5.2642 Å; angles 59.99, 59.99, 60.00 degrees
Fractional coordinates of all 4 atoms:
Pa 0.7498 0.7498 0.7505
Pa 0.2502 0.2502 0.2495
Hf 0.5000 0.5000 0.5000
Dy 0.0000 0.0000 0.0000

Summary:
Size of the total moment   0.01 μB per formula unit

Most favorable structure: arrangement one. The second most favorable one is 254 meV per atom above it.

Arrangement one

Below is a relaxed DyHf2Pa crystal, with properties calculated at the PBE level.

Cell lengths 3.8175, 3.8175, 7.0186 Å; angles 90.00, 90.00, 90.00 degrees
Fractional coordinates of all 4 atoms:
Dy 0.5000 0.5000 0.5000
Hf 0.0000 0.0000 0.2103
Hf 0.0000 0.0000 0.7897
Pa 0.5000 0.5000 0.0000

Summary:
Size of the total moment   0.00 μB per formula unit

Arrangement two

Below is a relaxed DyHf2Pa crystal, with properties calculated at the PBE level.

Cell lengths 5.1064, 5.1064, 5.3710 Å; angles 61.62, 61.62, 60.00 degrees
Fractional coordinates of all 4 atoms:
Hf 0.2286 0.2286 0.3143
Hf 0.7714 0.7714 0.6857
Dy 0.0000 0.0000 0.0000
Pa 0.5000 0.5000 0.5000

Summary:
Size of the total moment   0.00 μB per formula unit

Most favorable structure: arrangement one. The second most favorable one is 107 meV per atom above it.

Arrangement one

Below is a relaxed DyHfPb2 crystal, with properties calculated at the PBE level.

Cell lengths 4.3995, 4.8355, 4.8355 Å; angles 90.00, 90.00, 90.00 degrees
Fractional coordinates of all 4 atoms:
Pb 0.0000 0.5000 0.0000
Pb 0.0000 0.0000 0.5000
Dy 0.5000 0.5000 0.5000
Hf 0.5000 0.0000 0.0000

Summary:
Size of the total moment   0.00 μB per formula unit

Arrangement two

Below is a relaxed DyHfPb2 crystal, with properties calculated at the PBE level.

Cell lengths 4.8720, 4.8720, 5.9318 Å; angles 65.75, 65.75, 60.00 degrees
Fractional coordinates of all 4 atoms:
Hf 0.5000 0.5000 0.5000
Pb 0.2425 0.2425 0.2726
Pb 0.7575 0.7575 0.7274
Dy 0.0000 0.0000 0.0000

Summary:
Size of the total moment   0.00 μB per formula unit

Arrangement three

Below is a relaxed DyHfPb2 crystal, with properties calculated at the PBE level.

Cell lengths 3.3957, 3.3957, 8.8618 Å; angles 90.00, 90.00, 90.00 degrees
Fractional coordinates of all 4 atoms:
Hf 0.5000 0.5000 0.0000
Dy 0.5000 0.5000 0.5000
Pb 0.0000 0.0000 0.2386
Pb 0.0000 0.0000 0.7614

Summary:
Size of the total moment   0.01 μB per formula unit

Most favorable structure: arrangement three. The second most favorable one is 25 meV per atom above it.

Arrangement one

Below is a relaxed PmDy2Hf crystal, with properties calculated at the PBE level.

Cell lengths 3.9900, 3.9900, 7.4351 Å; angles 90.00, 90.00, 90.00 degrees
Fractional coordinates of all 4 atoms:
Hf 0.5000 0.5000 0.0000
Pm 0.5000 0.5000 0.5000
Dy 0.0000 0.0000 0.7830
Dy 0.0000 0.0000 0.2170

Summary:
Size of the total moment   0.00 μB per formula unit

Arrangement two

Below is a relaxed PmDy2Hf crystal, with properties calculated at the PBE level.

Cell lengths 4.9019, 4.8618, 4.8618 Å; angles 90.00, 90.00, 90.00 degrees
Fractional coordinates of all 4 atoms:
Dy 0.0000 0.5000 0.0000
Dy 0.0000 0.0000 0.5000
Hf 0.5000 0.0000 0.0000
Pm 0.5000 0.5000 0.5000

Summary:
Size of the total moment   0.00 μB per formula unit

Most favorable structure: arrangement two. The second most favorable one is 69 meV per atom above it.